(1)
KBPS2: PBEsol geometry, SCAN.

a = 5.5045 Å, b = 5.5045 Å, c = 5.7142 Å
α = 90.00°, β = 90.00°, γ = 90.00°
Last column: nearest neighbours and their distance in Å.
Fractional positions:
1 K 0.0000 0.0000 0.0000  4 S 2.75, 2 P 2.86
2 B 0.5000 0.5000 0.5000  4 P 3.89, 8 S 3.97
3 P 0.0000 0.0000 0.5000  2 K 2.86
4 S 0.0000 0.5000 0.0000  2 K 2.75
5 S 0.5000 0.0000 0.0000  2 K 2.75

Values from the calculation:
Uncorrected formation energy (eV per atom): 2.220
ρ (g cm⁻³): 1.391
Space-group type: No. 123

(2)
KBP2S: PBEsol geometry, SCAN.

a = 4.1734 Å, b = 4.1734 Å, c = 4.8470 Å
α = 90.00°, β = 90.00°, γ = 90.00°
Last column: nearest neighbours and their distance in Å.
Fractional positions:
1 K 0.0000 0.0000 0.0000  4 S 2.95, 8 P 3.20
2 B 0.5000 0.5000 0.5000  4 P 2.09
3 P 0.0000 0.5000 0.5000  2 B 2.09
4 P 0.5000 0.0000 0.5000  2 B 2.09
5 S 0.5000 0.5000 0.0000  2 B 2.42

Values from the calculation:
Uncorrected formation energy (eV per atom): 0.618
ρ (g cm⁻³): 2.831
Space-group type: No. 123

(3)
K2BPb: PBEsol geometry, SCAN.

a = 8.9949 Å, b = 8.9949 Å, c = 8.9949 Å
α = 93.70°, β = 93.70°, γ = 150.56°
Last column: nearest neighbours and their distance in Å.
Fractional positions:
1 K 0.3750 0.0876 0.2126  2 B 3.16
2 K 0.8376 0.6250 0.7126  2 B 3.16
3 K 0.8750 0.1624 0.7874  2 B 3.16
4 K 0.9124 0.1250 0.2874  2 B 3.16
5 B 0.0000 0.0000 0.0000  2 Pb 2.29
6 B 0.7500 0.2500 0.5000  2 Pb 2.29
7 Pb 0.2500 0.7500 0.5000  2 B 2.29
8 Pb 0.5000 0.5000 0.0000  2 B 2.29

Values from the calculation:
ρ (g cm⁻³): 2.843
Energy relative to the elements (eV/atom): 0.4977
Space-group type: No. 122

(4)
K2BPb: PBEsol geometry, SCAN.

a = 5.5216 Å, b = 5.5216 Å, c = 5.5216 Å
α = 60.00°, β = 60.00°, γ = 60.00°
Last column: nearest neighbours and their distance in Å.
Fractional positions:
1 K 0.2500 0.2500 0.2500  4 Pb 3.38, 4 B 3.38
2 K 0.7500 0.7500 0.7500  4 Pb 3.38, 4 B 3.38
3 B 0.0000 0.0000 0.0000  8 K 3.38
4 Pb 0.5000 0.5000 0.5000  8 K 3.38

Values from the calculation:
ρ (g cm⁻³): 4.132
Energy relative to the elements (eV/atom): 0.9658
Space-group type: No. 225

(5)
KB2Pd: PBEsol geometry, SCAN.

a = 4.2479 Å, b = 4.2479 Å, c = 4.2479 Å
α = 60.00°, β = 60.00°, γ = 60.00°
Last column: nearest neighbours and their distance in Å.
Fractional positions:
1 K 0.0000 0.0000 0.0000  8 B 2.60
2 B 0.2500 0.2500 0.2500  4 K 2.60, 4 Pd 2.60
3 B 0.7500 0.7500 0.7500  4 K 2.60, 4 Pd 2.60
4 Pd 0.5000 0.5000 0.5000  8 B 2.60

Values from the calculation:
ρ (g cm⁻³): 5.120
Energy relative to the elements (eV/atom): 1.5802
Space-group type: No. 225

(6)
KB2Pt: PBEsol geometry, SCAN.

a = 6.9255 Å, b = 6.9255 Å, c = 6.9255 Å
α = 134.89°, β = 134.89°, γ = 65.71°
Last column: nearest neighbours and their distance in Å.
Fractional positions:
1 K 0.3750 0.6250 0.7500  8 B 3.31
2 K 0.6250 0.3750 0.2500  8 B 3.31
3 B 0.0000 0.0000 0.0000  2 Pt 1.97
4 B 0.0000 0.0000 0.5000  2 Pt 1.97
5 B 0.0000 0.5000 0.0000  2 Pt 1.97
6 B 0.5000 0.0000 0.5000  2 Pt 1.97
7 Pt 0.1250 0.8750 0.2500  4 B 1.97
8 Pt 0.8750 0.1250 0.7500  4 B 1.97

Values from the calculation:
ρ (g cm⁻³): 5.173
Energy relative to the elements (eV/atom): 0.0321
Space-group type: No. 141

(7)
K2TaBRu: PBEsol geometry, SCAN.

a = 5.3736 Å, b = 5.3736 Å, c = 4.3244 Å
α = 90.00°, β = 90.00°, γ = 90.00°
Last column: nearest neighbours and their distance in Å.
Fractional positions:
1 K 0.0000 0.5000 0.0000  2 B 2.69
2 K 0.5000 0.0000 0.0000  2 B 2.69
3 Ta 0.0000 0.0000 0.5000  2 B 2.16
4 B 0.0000 0.0000 0.0000  2 Ta 2.16
5 Ru 0.5000 0.5000 0.5000  8 K 3.45, 4 Ta 3.80

Values from the calculation:
ρ (g cm⁻³): 4.934
Energy relative to the elements (eV/atom): 1.9055
Space-group type: No. 123

(8)
K3BS3: PBEsol geometry, SCAN.

a = 10.3228 Å, b = 6.2767 Å, c = 12.7539 Å
α = 90.00°, β = 112.12°, γ = 90.00°
Last column: nearest neighbours and their distance in Å.
Fractional positions:
1 K 0.0314 0.2270 0.4079  6 S 3.20-3.49, 1 B 3.47, 1 K 3.53
2 K 0.0314 0.2730 0.9079  6 S 3.20-3.49, 1 B 3.47, 1 K 3.53
3 K 0.2653 0.6680 0.8895  5 S 3.20-3.44, 1 B 3.41, 1 K 3.53
4 K 0.2653 0.8320 0.3895  5 S 3.20-3.44, 1 B 3.41, 1 K 3.53
5 K 0.4007 0.0557 0.1498  1 B 3.13, 5 S 3.20-3.49
6 K 0.4007 0.4443 0.6498  1 B 3.13, 5 S 3.20-3.49
7 K 0.5993 0.5557 0.3502  1 B 3.13, 5 S 3.20-3.49
8 K 0.5993 0.9443 0.8502  1 B 3.13, 5 S 3.20-3.49
9 K 0.7347 0.1680 0.6105  5 S 3.20-3.44, 1 B 3.41, 1 K 3.53
10 K 0.7347 0.3320 0.1105  5 S 3.20-3.44, 1 B 3.41, 1 K 3.53
11 K 0.9686 0.7270 0.0921  6 S 3.20-3.49, 1 B 3.47, 1 K 3.53
12 K 0.9686 0.7730 0.5921  6 S 3.20-3.49, 1 B 3.47, 1 K 3.53
13 B 0.2316 0.1289 0.7406  3 S 1.83-1.85
14 B 0.2316 0.3711 0.2406  3 S 1.83-1.85
15 B 0.7684 0.6289 0.7594  3 S 1.83-1.85
16 B 0.7684 0.8711 0.2594  3 S 1.83-1.85
17 S 0.0782 0.2036 0.1686  1 B 1.83
18 S 0.0782 0.2964 0.6686  1 B 1.83
19 S 0.2868 0.5748 0.1615  1 B 1.85
20 S 0.2868 0.9252 0.6615  1 B 1.85
21 S 0.3377 0.1720 0.8911  1 B 1.84
22 S 0.3377 0.3280 0.3911  1 B 1.84
23 S 0.6623 0.6720 0.6089  1 B 1.84
24 S 0.6623 0.8280 0.1089  1 B 1.84
25 S 0.7132 0.0748 0.3385  1 B 1.85
26 S 0.7132 0.4252 0.8385  1 B 1.85
27 S 0.9218 0.7036 0.3314  1 B 1.83
28 S 0.9218 0.7964 0.8314  1 B 1.83

Values from the calculation:
Uncorrected formation energy (eV per atom): -1.232
ρ (g cm⁻³): 1.946
Space-group type: No. 14

(9)
KTcBSb2: PBEsol geometry, SCAN.

a = 5.5097 Å, b = 5.5097 Å, c = 4.4103 Å
α = 90.00°, β = 90.00°, γ = 90.00°
Last column: nearest neighbours and their distance in Å.
Fractional positions:
1 K 0.0000 0.0000 0.0000  2 B 2.21
2 Tc 0.5000 0.5000 0.5000  8 Sb 3.53, 4 B 3.90
3 B 0.0000 0.0000 0.5000  2 K 2.21
4 Sb 0.0000 0.5000 0.0000  2 K 2.75
5 Sb 0.5000 0.0000 0.0000  2 K 2.75

Values from the calculation:
Uncorrected formation energy (eV per atom): 2.573
ρ (g cm⁻³): 4.855
Space-group type: No. 123

(10)
KSiB2: PBEsol geometry, SCAN.

a = 7.3024 Å, b = 7.3024 Å, c = 7.3024 Å
α = 144.47°, β = 144.47°, γ = 51.12°
Last column: nearest neighbours and their distance in Å.
Fractional positions:
1 K 0.3750 0.6250 0.7500  8 B 2.99, 4 Si 3.15
2 K 0.6250 0.3750 0.2500  8 B 2.99, 4 Si 3.15
3 Si 0.1250 0.8750 0.2500  4 B 1.99
4 Si 0.8750 0.1250 0.7500  4 B 1.99
5 B 0.0000 0.0000 0.0000  2 Si 1.99
6 B 0.0000 0.0000 0.5000  2 Si 1.99
7 B 0.0000 0.5000 0.0000  2 Si 1.99
8 B 0.5000 0.0000 0.5000  2 Si 1.99

Values from the calculation:
Uncorrected formation energy (eV per atom): 0.704
ρ (g cm⁻³): 2.255
Space-group type: No. 141

(11)
KSr3B: PBEsol geometry, SCAN.

a = 6.7251 Å, b = 6.7251 Å, c = 6.7251 Å
α = 90.00°, β = 90.00°, γ = 90.00°
Last column: nearest neighbours and their distance in Å.
Fractional positions:
1 K 0.0000 0.0000 0.0000  6 Sr 3.36
2 Sr 0.0000 0.0000 0.5000  2 K 3.36
3 Sr 0.0000 0.5000 0.0000  2 K 3.36
4 Sr 0.5000 0.0000 0.0000  2 K 3.36
5 B 0.5000 0.5000 0.5000  12 Sr 4.76

Values from the calculation:
ρ (g cm⁻³): 1.708
Energy relative to the elements (eV/atom): 1.7853
Space-group type: No. 221

(12)
KSrB3: PBEsol geometry, SCAN.

a = 5.1126 Å, b = 5.1126 Å, c = 5.1126 Å
α = 90.00°, β = 90.00°, γ = 90.00°
Last column: nearest neighbours and their distance in Å.
Fractional positions:
1 K 0.0000 0.0000 0.0000  12 B 3.62
2 Sr 0.5000 0.5000 0.5000  6 B 2.56
3 B 0.0000 0.5000 0.5000  2 Sr 2.56
4 B 0.5000 0.0000 0.5000  2 Sr 2.56
5 B 0.5000 0.5000 0.0000  2 Sr 2.56

Values from the calculation:
ρ (g cm⁻³): 1.978
Energy relative to the elements (eV/atom): 2.3762
Space-group type: No. 221